Entry i
A plane-wave DFT calculation with PBE was carried out for a geometry-optimized Nd2LuPt structure.

a = 3.7717 Å, b = 3.7717 Å, c = 31.9205 Å
α = 90.00°, β = 90.00°, γ = 120.00°
Closest atoms and distances in Å follow each position.
Space group R-3m (No. 166, hexagonal axes)
Unique sites:
Nd1 0.0000 0.0000 0.1077 (multiplicity 6)  3 Pt 2.88
Lu1 0.0000 0.0000 0.0000 (multiplicity 3)  2 Nd 3.44, 6 Lu 3.77
Pt1 0.0000 0.0000 0.5000 (multiplicity 3)  6 Nd 2.88


Entry ii
A plane-wave DFT calculation with PBE was carried out for a geometry-optimized Nd2LuPt structure.

a = 3.7132 Å, b = 3.7132 Å, c = 8.1635 Å
α = 90.00°, β = 90.00°, γ = 90.00°
Closest atoms and distances in Å follow each position.
Space group P4/mmm (No. 123)
Unique sites:
Nd1 0.0000 0.0000 0.2062 (multiplicity 2)  4 Pt 3.12, 1 Nd 3.37
Lu1 0.5000 0.5000 0.5000 (multiplicity 1)  8 Nd 3.56, 4 Lu 3.71
Pt1 0.5000 0.5000 0.0000 (multiplicity 1)  8 Nd 3.12


entry ii is favored, and the nearest alternative lies 268 meV/atom above it.


Entry i
A plane-wave DFT calculation with PBE was carried out for a geometry-optimized NdLuPu2 structure.

a = 4.8319 Å, b = 4.8319 Å, c = 5.0322 Å
α = 90.00°, β = 90.00°, γ = 90.00°
Closest atoms and distances in Å follow each position.
Space group P4/mmm (No. 123)
Unique sites:
Nd1 0.0000 0.0000 0.0000 (multiplicity 1)  4 Lu 3.42, 8 Pu 3.49
Lu1 0.5000 0.5000 0.0000 (multiplicity 1)  4 Nd 3.42, 8 Pu 3.49
Pu1 0.0000 0.5000 0.5000 (multiplicity 2)  4 Pu 3.42, 4 Nd 3.49, 4 Lu 3.49


Entry ii
A plane-wave DFT calculation with PBE was carried out for a geometry-optimized NdLuPu2 structure.

a = 3.4175 Å, b = 3.4175 Å, c = 10.1353 Å
α = 90.00°, β = 90.00°, γ = 90.00°
Closest atoms and distances in Å follow each position.
Space group P4/mmm (No. 123)
Unique sites:
Nd1 0.0000 0.0000 0.0000 (multiplicity 1)  4 Nd 3.42, 8 Pu 3.56
Lu1 0.0000 0.0000 0.5000 (multiplicity 1)  4 Lu 3.42, 8 Pu 3.44
Pu1 0.5000 0.5000 0.2581 (multiplicity 2)  4 Pu 3.42, 4 Lu 3.44, 4 Nd 3.56


entry ii is favored, and the nearest alternative lies 9 meV/atom above it.


Entry i
A plane-wave DFT calculation with PBE was carried out for a geometry-optimized Nd2LuRh structure.

a = 3.6753 Å, b = 3.6753 Å, c = 31.8713 Å
α = 90.00°, β = 90.00°, γ = 120.00°
Closest atoms and distances in Å follow each position.
Space group R-3m (No. 166, hexagonal axes)
Unique sites:
Nd1 0.0000 0.0000 0.1082 (multiplicity 6)  3 Rh 2.82
Lu1 0.0000 0.0000 0.0000 (multiplicity 3)  2 Nd 3.45, 6 Lu 3.68
Rh1 0.0000 0.0000 0.5000 (multiplicity 3)  6 Nd 2.82


Entry ii
A plane-wave DFT calculation with PBE was carried out for a geometry-optimized Nd2LuRh structure.

a = 3.6298 Å, b = 3.6298 Å, c = 8.4768 Å
α = 90.00°, β = 90.00°, γ = 90.00°
Closest atoms and distances in Å follow each position.
Space group P4/mmm (No. 123)
Unique sites:
Nd1 0.0000 0.0000 0.1963 (multiplicity 2)  4 Rh 3.06, 1 Nd 3.33
Lu1 0.5000 0.5000 0.5000 (multiplicity 1)  4 Lu 3.63, 8 Nd 3.64
Rh1 0.5000 0.5000 0.0000 (multiplicity 1)  8 Nd 3.06


entry ii is favored, and the nearest alternative lies 203 meV/atom above it.


Entry i
A plane-wave DFT calculation with PBE was carried out for a geometry-optimized NdLuRh structure.

a = 3.4652 Å, b = 3.4652 Å, c = 12.5996 Å
α = 90.00°, β = 90.00°, γ = 90.00°
Closest atoms and distances in Å follow each position.
Space group I4mm (No. 107)
Unique sites:
Nd1 0.0000 0.0000 0.0000 (multiplicity 2)  4 Rh 3.09, 1 Lu 3.33
Lu1 0.0000 0.0000 0.2646 (multiplicity 2)  4 Rh 2.85
Rh1 0.0000 0.0000 0.6491 (multiplicity 2)  4 Lu 2.85, 4 Nd 3.09


Entry ii
A plane-wave DFT calculation with PBE was carried out for a geometry-optimized NdLuRh structure.

a = 6.8507 Å, b = 6.8507 Å, c = 6.8507 Å
α = 90.00°, β = 90.00°, γ = 90.00°
Closest atoms and distances in Å follow each position.
Space group F-43m (No. 216)
Unique sites:
Nd1 0.0000 0.0000 0.0000 (multiplicity 4)  4 Rh 2.97
Lu1 0.0000 0.0000 0.5000 (multiplicity 4)  4 Rh 2.97
Rh1 0.2500 0.2500 0.7500 (multiplicity 4)  4 Nd 2.97, 4 Lu 2.97


Entry iii
A plane-wave DFT calculation with PBE was carried out for a geometry-optimized NdLuRh structure.

a = 4.0522 Å, b = 4.0522 Å, c = 6.1473 Å
α = 90.00°, β = 90.00°, γ = 120.00°
Closest atoms and distances in Å follow each position.
Space group P3m1 (No. 156)
Unique sites:
Nd1 0.0000 0.0000 0.0000 (multiplicity 1)  3 Rh 2.84
Lu1 0.3333 0.6667 0.5189 (multiplicity 1)  3 Rh 2.70
Rh1 0.6667 0.3333 0.7386 (multiplicity 1)  3 Lu 2.70, 3 Nd 2.84


entry ii is favored, and the nearest alternative lies 9 meV/atom above it.


Entry i
A plane-wave DFT calculation with PBE was carried out for a geometry-optimized NdLu2Ru structure.

a = 3.3971 Å, b = 3.3971 Å, c = 8.8493 Å
α = 90.00°, β = 90.00°, γ = 90.00°
Closest atoms and distances in Å follow each position.
Space group P4/mmm (No. 123)
Unique sites:
Nd1 0.0000 0.0000 0.0000 (multiplicity 1)  4 Nd 3.40, 8 Lu 3.72
Lu1 0.5000 0.5000 0.3206 (multiplicity 2)  4 Ru 2.88, 1 Lu 3.17
Ru1 0.0000 0.0000 0.5000 (multiplicity 1)  8 Lu 2.88


Entry ii
A plane-wave DFT calculation with PBE was carried out for a geometry-optimized NdLu2Ru structure.

a = 3.5038 Å, b = 3.5038 Å, c = 29.8150 Å
α = 90.00°, β = 90.00°, γ = 120.00°
Closest atoms and distances in Å follow each position.
Space group R-3m (No. 166, hexagonal axes)
Unique sites:
Nd1 0.0000 0.0000 0.0000 (multiplicity 3)  6 Nd 3.50, 6 Lu 3.71
Lu1 0.0000 0.0000 0.2292 (multiplicity 6)  3 Ru 2.75
Ru1 0.0000 0.0000 0.5000 (multiplicity 3)  6 Lu 2.75


entry i is favored, and the nearest alternative lies 241 meV/atom above it.


Entry i
A plane-wave DFT calculation with PBE was carried out for a geometry-optimized NdLuS3 structure.

a = 3.8728 Å, b = 12.5794 Å, c = 9.4972 Å
α = 90.00°, β = 90.00°, γ = 90.00°
Closest atoms and distances in Å follow each position.
Space group Cmcm (No. 63)
Unique sites:
Nd1 0.0000 0.2470 0.2500 (multiplicity 4)  6 S 2.79-2.98
Lu1 0.0000 0.5000 0.0000 (multiplicity 4)  6 S 2.61-2.70
S1 0.0000 0.1417 0.5632 (multiplicity 8)  2 Lu 2.70, 2 Nd 2.98
S2 0.0000 0.4131 0.7500 (multiplicity 4)  2 Lu 2.61, 2 Nd 2.79


Entry ii
A plane-wave DFT calculation with PBE was carried out for a geometry-optimized NdLuS3 structure.

a = 3.7917 Å, b = 12.7461 Å, c = 9.9243 Å
α = 90.00°, β = 90.00°, γ = 90.00°
Closest atoms and distances in Å follow each position.
Space group Cmcm (No. 63)
Unique sites:
Nd1 0.0000 0.0000 0.0000 (multiplicity 4)  6 S 2.80-2.84
Lu1 0.0000 0.2450 0.2500 (multiplicity 4)  6 S 2.67-2.80
S1 0.0000 0.1079 0.7500 (multiplicity 4)  2 Lu 2.67, 2 Nd 2.84
S2 0.0000 0.3517 0.5829 (multiplicity 8)  2 Nd 2.80, 2 Lu 2.80


entry i is favored, and the nearest alternative lies 137 meV/atom above it.


Entry i
A plane-wave DFT calculation with PBE was carried out for a geometry-optimized NdLuSc structure.

a = 3.4845 Å, b = 3.4845 Å, c = 14.6210 Å
α = 90.00°, β = 90.00°, γ = 90.00°
Closest atoms and distances in Å follow each position.
Space group I4mm (No. 107)
Unique sites:
Nd1 0.0000 0.0000 0.0000 (multiplicity 2)  4 Sc 3.45, 4 Nd 3.48, 4 Lu 3.58
Lu1 0.0000 0.0000 0.3225 (multiplicity 2)  4 Sc 3.37, 4 Lu 3.48, 4 Nd 3.58
Sc1 0.0000 0.0000 0.6652 (multiplicity 2)  4 Lu 3.37, 4 Nd 3.45, 4 Sc 3.48


Entry ii
A plane-wave DFT calculation with PBE was carried out for a geometry-optimized NdLuSc structure.

a = 5.5048 Å, b = 5.5048 Å, c = 3.3828 Å
α = 90.00°, β = 90.00°, γ = 120.00°
Closest atoms and distances in Å follow each position.
Space group P-6m2 (No. 187)
Unique sites:
Nd1 0.0000 0.0000 0.0000 (multiplicity 1)  2 Nd 3.38, 6 Lu 3.60, 6 Sc 3.60
Lu1 0.3333 0.6667 0.5000 (multiplicity 1)  3 Sc 3.18, 2 Lu 3.38
Sc1 0.6667 0.3333 0.5000 (multiplicity 1)  3 Lu 3.18, 2 Sc 3.38


entry i is favored, and the nearest alternative lies 33 meV/atom above it.